# 1
The following is a DFT calculation (meta-GGA SCAN) of a crystal of AlIn2Re relaxed with PBEsol.

```
AlIn2Re
1.0
3.610 0.000 0.000
0.000 4.339 0.000
0.000 0.000 4.486
In Re Al
2 1 1
Direct
0.000 0.000 0.000
0.500 0.500 0.000
0.500 0.000 0.500
0.000 0.500 0.500
```

Values from the calculation:
As for the space-group type: No. 47. The calculation puts the formation energy at 0.499 eV/atom. As for the final energy: -1.3196 Ha/atom.

***

# 2
The following is a DFT calculation (meta-GGA SCAN) of a crystal of AlInReTc2 relaxed with PBEsol.

```
AlInReTc2
1.0
4.425 0.000 0.000
0.000 4.425 0.000
0.000 0.000 4.473
In Re Tc Al
1 1 2 1
Direct
0.500 0.500 0.500
0.000 0.000 0.500
0.500 0.000 0.000
0.000 0.500 0.000
0.000 0.000 0.000
```

Values from the calculation:
As for the space-group type: No. 123. The calculation puts the formation energy at 1.311 eV/atom. As for the final energy: -1.2921 Ha/atom.

***

# 3
The following is a DFT calculation (meta-GGA SCAN) of a crystal of Al2InRh relaxed with PBEsol.

```
Al2InRh
1.0
3.031 0.009 0.000
-0.157 4.780 0.000
-1.437 -2.394 4.570
In Al Rh
1 2 1
Direct
0.000 0.000 0.000
0.000 0.000 0.500
0.500 0.500 0.500
0.500 0.500 0.000
```

Values from the calculation:
As for the space-group type: No. 12. The calculation puts the formation energy at -0.200 eV/atom. As for the final energy: -0.7668 Ha/atom.

***

# 4
The following is a DFT calculation (meta-GGA SCAN) of a crystal of Al2InRh relaxed with PBEsol.

```
Al2InRh
1.0
3.056 0.000 0.000
-1.528 4.428 0.004
0.000 -0.867 4.783
Al Rh In
2 1 1
Direct
0.235 0.470 0.219
0.765 0.530 0.781
0.500 0.000 0.000
0.000 0.000 0.500
```

Values from the calculation:
As for the space-group type: No. 12. The calculation puts the formation energy at -0.375 eV/atom. As for the final energy: -0.7732 Ha/atom.

***

# 5
The following is a DFT calculation (meta-GGA SCAN) of a crystal of Al4InRh relaxed with PBEsol.

```
Al4InRh
1.0
5.205 0.000 0.000
2.602 4.508 0.000
2.602 1.503 4.250
Al In Rh
4 1 1
Direct
0.375 0.375 0.876
0.375 0.375 0.375
0.375 0.876 0.375
0.876 0.375 0.375
0.750 0.750 0.750
0.000 0.000 0.000
```

Values from the calculation:
As for the space-group type: No. 216. The calculation puts the formation energy at 0.064 eV/atom. As for the final energy: -0.5989 Ha/atom.

***

# 6
The following is a DFT calculation (meta-GGA SCAN) of a crystal of Al2InRh relaxed with PBEsol.

```
Al2InRh
1.0
4.002 0.000 0.000
0.000 4.002 0.000
-2.001 -2.001 3.961
Al Rh In
2 1 1
Direct
0.750 0.250 0.500
0.250 0.750 0.500
0.000 0.000 0.000
0.500 0.500 0.000
```

Values from the calculation:
As for the space-group type: No. 139. The calculation puts the formation energy at -0.330 eV/atom. As for the final energy: -0.7716 Ha/atom.

***

# 7
The following is a DFT calculation (meta-GGA SCAN) of a crystal of AlIn2Ru relaxed with PBEsol.

```
AlIn2Ru
1.0
3.052 0.000 0.000
0.000 3.052 0.000
0.000 0.000 8.153
Al In Ru
1 2 1
Direct
0.500 0.500 0.685
0.000 0.000 0.973
0.500 0.500 0.311
0.000 0.000 0.531
```

Values from the calculation:
As for the space-group type: No. 99. The calculation puts the formation energy at -0.145 eV/atom. As for the final energy: -1.0100 Ha/atom.

***

# 8
The following is a DFT calculation (meta-GGA SCAN) of a crystal of AlInRu2 relaxed with PBEsol.

```
AlInRu2
1.0
2.872 0.000 0.000
0.000 3.727 0.000
0.000 0.000 5.691
Al In Ru
1 1 2
Direct
0.000 0.000 0.459
0.500 0.500 0.763
0.500 0.500 0.264
0.000 0.000 0.014
```

Values from the calculation:
As for the space-group type: No. 25. The calculation puts the formation energy at -0.041 eV/atom. As for the final energy: -1.0194 Ha/atom.